1.
La2CoP | GGA-PBE | relaxed

Total magnetic moment ... 0.58 μB/cell
Formation energy from the elements ... -212 kJ/mol of formula units
Raw total energy ... -0.226 hartree per atom
Fermi-level density of states ... 1.80 states/eV per cell

Geometry as POSCAR:
```
La2CoP
1.0
3.676 0.000 0.000
0.000 3.659 0.214
0.000 3.251 7.113
Co La P
1 2 1
direct
0.500 0.750 0.750
0.000 0.996 0.005
0.000 0.504 0.495
0.500 0.250 0.250
```


2.
Y2TlHg | GGA-PBE | relaxed

Total magnetic moment ... 0.57 μB/cell
Formation energy from the elements ... -172 kJ/mol of formula units
Raw total energy ... -0.160 hartree per atom
Fermi-level density of states ... 5.15 states/eV per cell

Geometry as POSCAR:
```
Y2TlHg
1.0
-2.480 -3.861 2.700
1.351 -1.007 5.051
-3.348 1.241 3.950
Y Tl Hg
2 1 1
direct
0.000 0.000 0.000
0.500 0.500 0.500
0.750 0.750 0.750
0.250 0.250 0.250
```


3.
PmThAs2 | GGA-PBE | relaxed

Total magnetic moment ... 0.00 μB/cell
Formation energy from the elements ... -424 kJ/mol of formula units
Raw total energy ... -0.238 hartree per atom
Fermi-level density of states ... 2.92 states/eV per cell
Energy above the lowest structure with this stoichiometry ... 0.381 eV per atom

Geometry as POSCAR:
```
PmThAs2
1.0
-2.829 2.052 -1.093
-2.520 -4.256 -1.468
-2.093 -0.382 4.700
As Th Pm
2 1 1
direct
0.000 0.000 0.500
0.000 0.500 0.000
0.500 0.000 0.000
0.500 0.500 0.500
```


- Number 2 is which compound?
  Y2TlHg


- The highest total magnetic moment belongs to which entry?
  La2CoP


- Among the records above, which one has the highest total magnetic moment?
  La2CoP